1.
Material: Si2AsP
Method: DFT, PBE
State: optimized geometry

```
data_Si2AsP
_space_group_name_H-M_alt 'P 4 m m'
_space_group_IT_number 99
_cell_length_a 2.8892
_cell_length_b 2.8892
_cell_length_c 8.2704
_cell_angle_alpha 90.00
_cell_angle_beta 90.00
_cell_angle_gamma 90.00
loop_
_space_group_symop_operation_xyz
'x,y,z'
'-y,x,z'
'-x,-y,z'
'y,-x,z'
'-x,y,z'
'y,x,z'
'x,-y,z'
'-y,-x,z'
loop_
_atom_site_label
_atom_site_type_symbol
_atom_site_fract_x
_atom_site_fract_y
_atom_site_fract_z
Si1 Si 0.0000 0.0000 0.0000
Si2 Si 0.5000 0.5000 0.2166
As1 As 0.0000 0.0000 0.4550
P1 P 0.5000 0.5000 0.8318
```

- formation energy without anion corrections (meV per atom) = 521
- density of states at the Fermi level (states/eV/atom) = 0.615
- total magnetization (Bohr magnetons per cell) = 0.0
- E above lowest polymorph (meV per atom) = 446.0

---

2.
Material: Zr2NiHPt
Method: DFT, PBE
State: optimized geometry

```
data_Zr2NiHPt
_space_group_name_H-M_alt 'P 4/m m m'
_space_group_IT_number 123
_space_group_name_Hall '-P 4 2'
_cell_length_a 4.3946
_cell_length_b 4.3946
_cell_length_c 3.8238
_cell_angle_alpha 90.00
_cell_angle_beta 90.00
_cell_angle_gamma 90.00
loop_
_atom_site_label
_atom_site_type_symbol
_atom_site_fract_x
_atom_site_fract_y
_atom_site_fract_z
Zr1 Zr 0.0000 0.5000 0.0000
Ni1 Ni 0.0000 0.0000 0.5000
H1 H 0.5000 0.5000 0.0000
Pt1 Pt 0.5000 0.5000 0.5000
```

- density of states at the Fermi level (states/eV/atom) = 0.977
- total magnetization (Bohr magnetons per cell) = 0.0
- E above lowest polymorph (meV per atom) = 127.9

---

3.
Material: RbTl2CuHg
Method: DFT, PBE
State: optimized geometry

```
data_RbTl2CuHg
_space_group_name_H-M_alt 'P 4/m m m'
_space_group_IT_number 123
_space_group_name_Hall '-P 4 2'
_cell_length_a 5.3946
_cell_length_b 5.3946
_cell_length_c 5.3747
_cell_angle_alpha 90.00
_cell_angle_beta 90.00
_cell_angle_gamma 90.00
loop_
_atom_site_label
_atom_site_type_symbol
_atom_site_fract_x
_atom_site_fract_y
_atom_site_fract_z
Rb1 Rb 0.0000 0.0000 0.0000
Tl1 Tl 0.0000 0.5000 0.5000
Cu1 Cu 0.5000 0.5000 0.5000
Hg1 Hg 0.5000 0.5000 0.0000
```

- density of states at the Fermi level (states/eV/atom) = 0.423
- total magnetization (Bohr magnetons per cell) = 0.0
- ΔE_f (meV/atom) = 39

---

> Which of these has the lowest density of states at the Fermi level?

RbTl2CuHg

---

> Among the records above, which one has the lowest density of states at the Fermi level?

RbTl2CuHg

---

What did the second record say?
Material: Zr2NiHPt
Method: DFT, PBE
State: optimized geometry

```
data_Zr2NiHPt
_space_group_name_H-M_alt 'P 4/m m m'
_space_group_IT_number 123
_space_group_name_Hall '-P 4 2'
_cell_length_a 4.3946
_cell_length_b 4.3946
_cell_length_c 3.8238
_cell_angle_alpha 90.00
_cell_angle_beta 90.00
_cell_angle_gamma 90.00
loop_
_atom_site_label
_atom_site_type_symbol
_atom_site_fract_x
_atom_site_fract_y
_atom_site_fract_z
Zr1 Zr 0.0000 0.5000 0.0000
Ni1 Ni 0.0000 0.0000 0.5000
H1 H 0.5000 0.5000 0.0000
Pt1 Pt 0.5000 0.5000 0.5000
```

- density of states at the Fermi level (states/eV/atom) = 0.977
- total magnetization (Bohr magnetons per cell) = 0.0
- E above lowest polymorph (meV per atom) = 127.9